# 1
## Sc2ZnC (PBE)

Data for a geometry-optimized Sc2ZnC structure.

## Properties
ΔH_f (0 K), eV per atom: -0.183

Cell lengths 8.493, 8.493, 8.493 Å; angles 22.45, 22.45, 22.45 degrees
Atoms (fractional coordinates):
Sc (0.118, 0.118, 0.118)
Sc (0.882, 0.882, 0.882)
Zn (0.000, 0.000, 0.000)
C (0.500, 0.500, 0.500)



# 2
## Sc3Zn3C (PBE)

Data for a geometry-optimized Sc3Zn3C structure.

## Properties
ΔH_f (0 K), eV per atom: -0.475

Cell lengths 8.638, 8.638, 8.638 Å; angles 60.00, 60.00, 60.00 degrees
Atoms (fractional coordinates):
Sc (0.068, 0.068, 0.682)
Sc (0.068, 0.682, 0.068)
Sc (0.068, 0.682, 0.682)
Sc (0.318, 0.318, 0.932)
Sc (0.318, 0.932, 0.318)
Sc (0.318, 0.932, 0.932)
Sc (0.682, 0.068, 0.068)
Sc (0.682, 0.068, 0.682)
Sc (0.682, 0.682, 0.068)
Sc (0.932, 0.318, 0.318)
Sc (0.932, 0.318, 0.932)
Sc (0.932, 0.932, 0.318)
Zn (0.000, 0.500, 0.500)
Zn (0.295, 0.295, 0.295)
Zn (0.295, 0.295, 0.614)
Zn (0.295, 0.614, 0.295)
Zn (0.386, 0.705, 0.705)
Zn (0.500, 0.000, 0.500)
Zn (0.500, 0.500, 0.000)
Zn (0.500, 0.500, 0.500)
Zn (0.614, 0.295, 0.295)
Zn (0.705, 0.386, 0.705)
Zn (0.705, 0.705, 0.386)
Zn (0.705, 0.705, 0.705)
C (0.000, 0.000, 0.000)
C (0.000, 0.000, 0.500)
C (0.000, 0.500, 0.000)
C (0.500, 0.000, 0.000)



# 3
## ScZnC3 (PBE)

Data for a geometry-optimized ScZnC3 structure.

## Properties
ΔH_f (0 K), eV per atom: 2.442
Relative energy among the computed polymorphs, meV per atom: 470

Cell lengths 4.237, 4.237, 4.237 Å; angles 90.00, 90.00, 90.00 degrees
Atoms (fractional coordinates):
Sc (0.000, 0.000, 0.000)
Zn (0.500, 0.500, 0.500)
C (0.000, 0.000, 0.500)
C (0.000, 0.500, 0.000)
C (0.500, 0.000, 0.000)



> Which formula does entry 2 have?

Sc3Zn3C